A relaxed structure of CsBaCuF6. Source: the Alexandria database, functional PBE.

POSCAR file:
```
CsBaCuF6
1.0
-1.612 -0.936 8.230
-5.710 -5.609 -1.757
7.440 -0.201 -2.891
F Ba Cs Cu
12 2 2 2
Direct
0.430 0.203 0.860 F
0.473 0.152 0.247 F
0.527 0.848 0.753 F
0.115 0.896 0.230 F
0.790 0.585 0.252 F
0.775 0.153 0.247 F
0.462 0.586 0.252 F
0.225 0.847 0.753 F
0.570 0.797 0.140 F
0.538 0.414 0.748 F
0.885 0.104 0.770 F
0.210 0.415 0.748 F
0.500 0.000 0.500 Ba
0.000 0.000 0.500 Ba
0.838 0.614 0.676 Cs
0.162 0.386 0.324 Cs
0.500 0.500 0.000 Cu
0.500 0.000 0.000 Cu
```

Computed properties:
size of the total moment: 2.07 μB/cell
raw formation energy: -2.58 eV per atom